# Mg2Zn2Bi, optimized geometry, DFT GGA-PBE
# Relative energy among the computed polymorphs: 91 meV per atom
# D(E_F): 4.16 states/eV per cell
# Calculated volume: 220 Å³/cell
data_Mg2Zn2Bi
_symmetry_space_group_name_H-M 'P 4/m b m'
_symmetry_Int_Tables_number 127
_symmetry_space_group_name_Hall '-P 4 2ab'
_cell_length_a 8.1857
_cell_length_b 8.1857
_cell_length_c 3.2773
_cell_angle_alpha 90.00
_cell_angle_beta 90.00
_cell_angle_gamma 90.00
loop_
_atom_site_label
_atom_site_type_symbol
_atom_site_fract_x
_atom_site_fract_y
_atom_site_fract_z
_atom_site_occupancy
Mg1 Mg 0.1361 0.3639 0.0000 1
Zn1 Zn 0.1603 0.6603 0.5000 1
Bi1 Bi 0.0000 0.0000 0.0000 1

---

# Tb2Pm4Ho2Er, optimized geometry, DFT GGA-PBE
# DFT total energy: -4.645 eV/atom
# D(E_F): 26.54 states/eV per cell
# Calculated volume: 587 Å³/cell
data_Tb2Pm4Ho2Er
_symmetry_space_group_name_H-M 'C 1 2/m 1'
_symmetry_Int_Tables_number 12
_cell_length_a 15.2340
_cell_length_b 5.0719
_cell_length_c 8.0091
_cell_angle_alpha 90.00
_cell_angle_beta 108.51
_cell_angle_gamma 90.00
loop_
_symmetry_equiv_pos_as_xyz
'x,y,z'
'-x,-y,-z'
'-x,y,-z'
'x,-y,z'
'x+1/2,y+1/2,z'
'-x+1/2,-y+1/2,-z'
'-x+1/2,y+1/2,-z'
'x+1/2,-y+1/2,z'
loop_
_atom_site_label
_atom_site_type_symbol
_atom_site_fract_x
_atom_site_fract_y
_atom_site_fract_z
_atom_site_occupancy
Tb1 Tb 0.1114 0.0000 0.1695 1
Pm1 Pm 0.0545 0.5000 0.8313 1
Pm2 Pm 0.2224 0.0000 0.8319 1
Ho1 Ho 0.1667 0.5000 0.4998 1
Er1 Er 0.0000 0.0000 0.5000 1

---

# K2NpPt3O12, optimized geometry, DFT GGA-PBE
# D(E_F): 17.66 states/eV per cell
# ΔE_f (raw): -1.1754 eV per atom
# Calculated volume: 841 Å³/cell
data_K2NpPt3O12
_symmetry_space_group_name_H-M 'R -3 m'
_symmetry_Int_Tables_number 166
_symmetry_space_group_name_Hall '-R 3 2"'
_cell_length_a 7.2021
_cell_length_b 7.2021
_cell_length_c 18.7240
_cell_angle_alpha 90.00
_cell_angle_beta 90.00
_cell_angle_gamma 120.00
loop_
_atom_site_label
_atom_site_type_symbol
_atom_site_fract_x
_atom_site_fract_y
_atom_site_fract_z
_atom_site_occupancy
K1 K 0.0000 0.0000 0.1115 1
Np1 Np 0.0000 0.0000 0.5000 1
Pt1 Pt 0.0000 0.5000 0.0000 1
O1 O 0.0606 0.5303 0.3584 1
O2 O 0.0695 0.5348 0.1047 1

---

# Sm5HoCu6, optimized geometry, DFT GGA-PBE
# DFT total energy: -4.590 eV/atom
# D(E_F): 13.42 states/eV per cell
# Calculated volume: 529 Å³/cell
data_Sm5HoCu6
_symmetry_space_group_name_H-M 'C m m m'
_symmetry_Int_Tables_number 65
_symmetry_space_group_name_Hall '-C 2 2'
_cell_length_a 5.0128
_cell_length_b 15.0473
_cell_length_c 7.0090
_cell_angle_alpha 90.00
_cell_angle_beta 90.00
_cell_angle_gamma 90.00
loop_
_atom_site_label
_atom_site_type_symbol
_atom_site_fract_x
_atom_site_fract_y
_atom_site_fract_z
_atom_site_occupancy
Sm1 Sm 0.0000 0.0000 0.0000 1
Sm2 Sm 0.0000 0.3324 0.0000 1
Sm3 Sm 0.0000 0.3344 0.5000 1
Ho1 Ho 0.0000 0.0000 0.5000 1
Cu1 Cu 0.0000 0.1639 0.2538 1
Cu2 Cu 0.0000 0.5000 0.2573 1